# 1
Density functional theory data (SCAN) for a PBEsol-optimized structure of MoOs2W.

POSCAR file:
```
MoOs2W
1.0
3.907 0.000 0.000
0.000 3.859 0.000
0.000 0.000 3.908
Mo Os W
1 2 1
Cartesian
0.000 1.929 1.954
0.000 0.000 0.000
1.954 0.000 1.954
1.954 1.929 0.000
```

Values from the calculation:
formation energy from the elements: 57 meV/atom
space-group type: P4/mmm, No. 123
DOS at the Fermi energy: 3.44 states/eV/f.u.

***

# 2
Density functional theory data (SCAN) for a PBEsol-optimized structure of Mg2TcP.

POSCAR file:
```
Mg2TcP
1.0
-1.081 2.392 -0.676
-3.829 -0.860 3.079
3.887 2.341 2.072
Mg P Tc
2 1 1
Cartesian
-1.915 -0.430 1.540
1.943 1.171 1.036
-0.540 1.196 -0.338
-0.511 1.937 2.237
```

Values from the calculation:
formation energy from the elements: 68 meV/atom
space-group type: Cmmm, No. 65
DOS at the Fermi energy: 2.32 states/eV/f.u.